Compound: ScCd
Source: Alexandria
Functional: PBE
Structure: relaxed

Cell lengths 10.3194, 10.3194, 10.3194 Å; angles 18.20, 18.20, 18.20 degrees
Sites, in units of the cell vectors:
1 Sc 0.1242 0.1242 0.1242
2 Sc 0.8758 0.8758 0.8758
3 Cd 0.3749 0.3749 0.3749
4 Cd 0.6251 0.6251 0.6251

## Properties
Space-group type: No. 166
Energy relative to the elements in eV per formula unit: -0.2
Electronic total energy in eV/atom: -3.700
DOS(E_F) in states/eV/f.u.: 1.96
Total moment in Bohr magnetons per cell: 1.1